1.
CaThAgHg | Alexandria via LeMat-Bulk | GGA-PBE | optimized geometry; DFT formation energy = -0.24 eV per atom; volume = 26.675 Å³/atom; theoretical density = 9.0 g/cm³; magnetic moment = 0.00 μB per formula unit; final energy = -0.2489 Ry/atom
1.0
0.000 3.765 3.765
3.765 0.000 3.765
3.765 3.765 0.000
Ca Th Ag Hg
1 1 1 1
direct
0.000 0.000 0.000
0.500 0.500 0.500
0.750 0.750 0.750
0.250 0.250 0.250



2.
NpPaC | Alexandria via LeMat-Bulk | GGA-PBE | optimized geometry; DFT formation energy = -0.01 eV per atom; volume = 16.737 Å³/atom; E above lowest polymorph = 0.0 meV per atom; theoretical density = 15.9 g/cm³; magnetic moment = 3.24 μB per formula unit; final energy = -0.7764 Ry/atom
1.0
3.499 0.000 0.000
-1.750 3.030 0.000
0.000 0.000 4.735
Np Pa C
1 1 1
direct
0.000 0.000 0.000
0.667 0.333 0.387
0.333 0.667 0.701